# 1
The following is a PBE calculation of a relaxed MnPt14W crystal, from Alexandria.

As for the density of states at the Fermi level: 21.80 states/eV/f.u. As for the total energy: -109.8 eV per formula unit. As for the crystal system: tetragonal. The size of the total moment is 0.26 μB per atom.

The space group is P4/mmm (No. 123) and the conventional cell measures 5.6216, 5.6216 and 7.8539 Å, with angles of 90.00, 90.00 and 90.00 degrees. The inequivalent atoms are Mn at (0.0000, 0.0000, 0.0000), Pt at (0.0000, 0.0000, 0.5000), Pt at (0.0000, 0.5000, 0.0000), Pt at (0.0000, 0.5000, 0.5000), Pt at (0.2511, 0.2511, 0.2423), Pt at (0.5000, 0.5000, 0.5000) and W at (0.5000, 0.5000, 0.0000).

=====

# 2
The following is a PBE calculation of a relaxed Ga2CN crystal, from Alexandria.

As for the density of states at the Fermi level: 2.99 states/eV/f.u. As for the total energy: -22.4 eV per formula unit. The uncorrected formation energy is 306 meV/atom. As for the crystal system: tetragonal. The size of the total moment is 0.00 μB per atom.

The space group is I-42d (No. 122) and the conventional cell measures 4.6527, 4.6527 and 9.1363 Å, with angles of 90.00, 90.00 and 90.00 degrees. The inequivalent atoms are Ga at (0.2452, 0.2500, 0.1250), C at (0.0000, 0.0000, 0.5000) and N at (0.0000, 0.0000, 0.0000).

=====

# 3
The following is a PBE calculation of a relaxed CaHgB2As crystal, from Alexandria.

As for the density of states at the Fermi level: 3.49 states/eV/f.u. As for the total energy: -14.5 eV per formula unit. As for the crystal system: tetragonal. The size of the total moment is 0.00 μB per atom.

The space group is P4/mmm (No. 123) and the conventional cell measures 4.2208, 4.2208 and 6.1938 Å, with angles of 90.00, 90.00 and 90.00 degrees. The inequivalent atoms are Ca at (0.0000, 0.0000, 0.0000), Hg at (0.0000, 0.0000, 0.5000), B at (0.0000, 0.5000, 0.5000) and As at (0.5000, 0.5000, 0.0000).